This record from the Alexandria database describes a geometry-optimized TmMg2Pb structure. The functional is GGA-PBE.

a b c (Å): 4.7764 4.5300 4.5300
angles (deg): 90.00 90.00 90.00
Sites, in units of the cell vectors:
Pb (0.5000, 0.0000, 0.0000)
Mg (0.0000, 0.0000, 0.5000)
Mg (0.0000, 0.5000, 0.0000)
Tm (0.5000, 0.5000, 0.5000)

Calculated values
Space group = P4/mmm
DOS at the Fermi energy = 1.31 states/eV/f.u.
Distance to the lowest polymorph of the same formula = 0 meV/atom
ΔH_f (0 K) = -0.264 eV per atom
Total magnetization = 0.00 μB per formula unit
E = -3.11 eV per atom